No. 1
PBE-GGA Mg2ReH, optimized geometry; polymorph energy (0 for the lowest one) = 0.451 eV/atom; space-group type = No. 225; VASP energy = -14.386 eV/f.u.; calculated volume = 65 Å³ per cell
1.0
-4.476 -0.462 -0.323
-2.586 3.604 -0.824
-2.031 0.451 -4.003
Re Mg H
1 2 1
Direct
0.500 0.500 0.500 Re
0.250 0.250 0.250 Mg
0.750 0.750 0.750 Mg
0.000 0.000 0.000 H

No. 2
PBE-GGA MgReH2, optimized geometry; polymorph energy (0 for the lowest one) = 0.000 eV/atom; space-group type = No. 122; VASP energy = -19.675 eV/f.u.; calculated volume = 79 Å³ per cell
1.0
4.409 0.000 0.000
0.000 4.409 0.000
2.205 2.205 4.042
Re Mg H
2 2 4
Direct
0.000 0.000 0.000 Re
0.750 0.250 0.500 Re
0.500 0.500 0.000 Mg
0.250 0.750 0.500 Mg
0.651 0.125 0.250 H
0.099 0.625 0.250 H
0.375 0.349 0.750 H
0.875 0.901 0.750 H

No. 3
PBE-GGA MgReH3, optimized geometry; polymorph energy (0 for the lowest one) = 0.000 eV/atom; space-group type = No. 221; VASP energy = -23.418 eV/f.u.; calculated volume = 44 Å³ per cell
1.0
-2.230 1.360 2.356
1.969 -1.296 2.611
1.878 2.974 0.060
Re Mg H
1 1 3
Direct
0.000 0.000 0.000 Re
0.500 0.500 0.500 Mg
0.000 0.500 0.000 H
0.000 0.000 0.500 H
0.500 0.000 0.000 H

No. 4
PBE-GGA MgReH3, optimized geometry; polymorph energy (0 for the lowest one) = 0.793 eV/atom; space-group type = No. 221; VASP energy = -19.451 eV/f.u.; calculated volume = 39 Å³ per cell
1.0
-2.995 1.621 0.044
-1.323 -2.390 -2.034
-0.937 -1.805 2.731
Re Mg H
1 1 3
Direct
0.500 0.500 0.500 Re
0.000 0.000 0.000 Mg
0.000 0.500 0.000 H
0.000 0.000 0.500 H
0.500 0.000 0.000 H

No. 5
PBE-GGA Mg2ReH, optimized geometry; polymorph energy (0 for the lowest one) = 0.000 eV/atom; space-group type = No. 122; VASP energy = -16.192 eV/f.u.; calculated volume = 111 Å³ per cell
1.0
-3.052 -2.652 3.819
-2.322 -3.089 -4.000
-0.079 -5.323 0.290
Re Mg H
2 4 2
Direct
0.000 0.000 0.000 Re
0.750 0.250 0.500 Re
0.482 0.125 0.250 Mg
0.268 0.625 0.250 Mg
0.375 0.518 0.750 Mg
0.875 0.732 0.750 Mg
0.500 0.500 0.000 H
0.250 0.750 0.500 H

No. 6
PBE-GGA MgRe2H, optimized geometry; polymorph energy (0 for the lowest one) = 0.868 eV/atom; space-group type = No. 225; VASP energy = -23.716 eV/f.u.; calculated volume = 53 Å³ per cell
1.0
-0.014 -4.193 0.409
-0.939 -1.751 3.715
-3.643 -2.056 0.499
Re Mg H
2 1 1
Direct
0.250 0.250 0.250 Re
0.750 0.750 0.750 Re
0.500 0.500 0.500 Mg
0.000 0.000 0.000 H

Question: What is the formula in the third record?
Answer: MgReH3

Question: The highest VASP energy belongs to which entry?
Answer: number 1

Copy entry 1 word for word.
PBE-GGA Mg2ReH, optimized geometry; polymorph energy (0 for the lowest one) = 0.451 eV/atom; space-group type = No. 225; VASP energy = -14.386 eV/f.u.; calculated volume = 65 Å³ per cell
1.0
-4.476 -0.462 -0.323
-2.586 3.604 -0.824
-2.031 0.451 -4.003
Re Mg H
1 2 1
Direct
0.500 0.500 0.500 Re
0.250 0.250 0.250 Mg
0.750 0.750 0.750 Mg
0.000 0.000 0.000 H